{
  "formula": "Ho2MnAlO6",
  "functional": "GGA+U",
  "state": "relaxed",
  "lattice": [[4.689, 0.000, 0.000], [0.000, 5.094, 0.000], [0.000, 0.000, 5.094]],
  "species": ["Ho", "Ho", "Mn", "Al", "O", "O", "O", "O", "O", "O"],
  "frac_coords": [[0.012, 0.500, 0.000], [0.012, 0.000, 0.500], [0.610, 0.500, 0.500], [0.583, 0.000, 0.000], [0.714, 0.243, 0.243], [0.714, 0.243, 0.757], [0.170, 0.500, 0.500], [0.202, 0.000, 0.000], [0.714, 0.757, 0.757], [0.714, 0.757, 0.243]],
  "energy_ev_per_cell": -78.056,
  "magmom_total_mub_per_fu": 4.0
}